# 1
Crystalline InGaP at its relaxed geometry, computed with PBE.

a b c (Å): 3.7961 5.6773 5.9390
angles (deg): 90.00 104.50 90.00
Closest atoms and distances in Å follow each position.
Positions (direct):
In1 0.2444 0.2500 0.3890  4 P 2.73-2.95
In2 0.7556 0.7500 0.6110  4 P 2.73-2.95
Ga1 0.5000 0.0000 0.0000  4 P 2.80, 2 Ga 2.84, 2 In 3.07
Ga2 0.5000 0.5000 0.0000  4 P 2.80, 2 Ga 2.84, 2 In 3.07
P1 0.1019 0.7500 0.2598  4 In 2.73-2.95, 4 Ga 2.80
P2 0.8981 0.2500 0.7402  4 In 2.73-2.95, 4 Ga 2.80

Calculated values
E_form ... 0.27 eV/f.u.
Excess energy over the best structure of this formula in the dataset ... 44.4 kJ/mol of formula units
Symmetry ... P2_1/m
Mass density ... 5.78 g/cm³

***

# 2
Crystalline BeTcOs2 at its relaxed geometry, computed with PBE.

a b c (Å): 2.7338 3.8170 5.1328
angles (deg): 90.00 90.00 90.00
Closest atoms and distances in Å follow each position.
Positions (direct):
Be1 0.0000 0.0000 0.0000  2 Tc 2.57, 8 Os 2.64, 2 Be 2.73
Tc1 0.0000 0.0000 0.5000  2 Be 2.57, 8 Os 2.71, 2 Tc 2.73
Os1 0.5000 0.5000 0.2353  1 Os 2.42, 4 Be 2.64
Os2 0.5000 0.5000 0.7647  1 Os 2.42, 4 Be 2.64

Calculated values
E_form ... 0.41 eV/f.u.
Symmetry ... Pmmm
Mass density ... 15.11 g/cm³

***

# 3
Crystalline ScInHg2 at its relaxed geometry, computed with PBE.

a b c (Å): 3.7020 3.7020 6.7909
angles (deg): 90.00 90.00 90.00
Closest atoms and distances in Å follow each position.
Positions (direct):
Sc1 0.0000 0.0000 0.0000  8 Hg 3.07, 2 In 3.40
In1 0.0000 0.0000 0.5000  8 Hg 3.18, 2 Sc 3.40
Hg1 0.5000 0.5000 0.2350  4 Sc 3.07, 4 In 3.18, 1 Hg 3.19
Hg2 0.5000 0.5000 0.7650  4 Sc 3.07, 4 In 3.18, 1 Hg 3.19

Calculated values
E_form ... -0.80 eV/f.u.
Symmetry ... P4/mmm
Mass density ... 10.01 g/cm³

***

# 4
Crystalline AcHoTm4S8 at its relaxed geometry, computed with PBE.

a b c (Å): 8.0931 8.0931 8.0931
angles (deg): 59.84 59.84 59.84
Closest atoms and distances in Å follow each position.
Positions (direct):
Ac1 0.0000 0.0000 0.0000  4 S 2.80
Ho1 0.3768 0.3768 0.3768  6 S 2.73-2.78
Tm1 0.3767 0.3767 0.8678  6 S 2.71-2.76
Tm2 0.3767 0.8678 0.3767  6 S 2.71-2.76
Tm3 0.7491 0.7491 0.7491  4 S 2.59-2.61
Tm4 0.8678 0.3767 0.3767  6 S 2.71-2.76
S1 0.1393 0.1393 0.5762  2 Tm 2.71, 1 Ho 2.73, 1 Ac 2.80
S2 0.1393 0.5762 0.1393  2 Tm 2.71, 1 Ho 2.73, 1 Ac 2.80
S3 0.1411 0.1411 0.1411  3 Tm 2.71, 1 Ac 2.80
S4 0.1422 0.6202 0.6202  3 Tm 2.59-2.76, 1 Ho 2.78
S5 0.5762 0.1393 0.1393  2 Tm 2.71, 1 Ho 2.73, 1 Ac 2.80
S6 0.6179 0.6179 0.6179  4 Tm 2.61-2.76
S7 0.6202 0.1422 0.6202  3 Tm 2.59-2.76, 1 Ho 2.78
S8 0.6202 0.6202 0.1422  3 Tm 2.59-2.76, 1 Ho 2.78

Calculated values
Formation energy (no corrections) ... -1.909 eV/atom
Symmetry ... R3m
Mass density ... 5.89 g/cm³

***

# 5
Crystalline Ga2FeNi7Ge2 at its relaxed geometry, computed with PBE.

a b c (Å): 3.4171 3.4171 13.9423
angles (deg): 96.98 96.98 90.01
Closest atoms and distances in Å follow each position.
Positions (direct):
Ga1 0.1302 0.1302 0.2631  5 Ni 2.47-2.48
Ga2 0.8698 0.8698 0.7369  5 Ni 2.47-2.48
Fe1 0.5000 0.5000 0.0000  12 Ni 2.42-2.50
Ni1 0.0000 0.0000 0.0000  4 Fe 2.42, 8 Ni 2.50
Ni2 0.0651 0.5650 0.1327  6 Ni 2.42-2.50, 2 Ga 2.47-2.48, 2 Fe 2.50
Ni3 0.2210 0.2210 0.4434  5 Ge 2.37-2.55, 1 Ga 2.48
Ni4 0.4350 0.9349 0.8673  6 Ni 2.42-2.50, 2 Ga 2.47-2.48, 2 Fe 2.50
Ni5 0.5650 0.0651 0.1327  6 Ni 2.42-2.50, 2 Ga 2.47-2.48, 2 Fe 2.50
Ni6 0.7790 0.7790 0.5566  5 Ge 2.37-2.55, 1 Ga 2.48
Ni7 0.9349 0.4350 0.8673  6 Ni 2.42-2.50, 2 Ga 2.47-2.48, 2 Fe 2.50
Ge1 0.3084 0.3084 0.6160  5 Ni 2.37-2.55
Ge2 0.6916 0.6916 0.3840  5 Ni 2.37-2.55

Calculated values
E_form ... -0.67 eV/f.u.
Symmetry ... C2/m
Mass density ... 7.78 g/cm³

***

# 6
Crystalline Ba2AuSe at its relaxed geometry, computed with PBE.

a b c (Å): 7.9326 7.9326 7.9326
angles (deg): 90.00 90.00 90.00
Closest atoms and distances in Å follow each position.
Positions (direct):
Ba1 0.0000 0.0000 0.0000  4 Ba 3.43, 4 Se 3.43
Ba2 0.0000 0.5000 0.5000  4 Ba 3.43, 4 Se 3.43
Ba3 0.2500 0.2500 0.2500  4 Au 3.43, 4 Ba 3.43
Ba4 0.2500 0.7500 0.7500  4 Ba 3.43, 4 Au 3.43
Ba5 0.5000 0.0000 0.5000  4 Ba 3.43, 4 Se 3.43
Ba6 0.5000 0.5000 0.0000  4 Ba 3.43, 4 Se 3.43
Ba7 0.7500 0.2500 0.7500  4 Ba 3.43, 4 Au 3.43
Ba8 0.7500 0.7500 0.2500  4 Ba 3.43, 4 Au 3.43
Au1 0.0000 0.0000 0.5000  4 Se 3.43, 4 Ba 3.43
Au2 0.0000 0.5000 0.0000  4 Se 3.43, 4 Ba 3.43
Au3 0.5000 0.0000 0.0000  4 Se 3.43, 4 Ba 3.43
Au4 0.5000 0.5000 0.5000  4 Se 3.43, 4 Ba 3.43
Se1 0.2500 0.2500 0.7500  4 Ba 3.43, 4 Au 3.43
Se2 0.2500 0.7500 0.2500  4 Ba 3.43, 4 Au 3.43
Se3 0.7500 0.2500 0.2500  4 Ba 3.43, 4 Au 3.43
Se4 0.7500 0.7500 0.7500  4 Ba 3.43, 4 Au 3.43

Calculated values
Formation energy (no corrections) ... -0.592 eV/atom
Symmetry ... F-43m
Mass density ... 7.33 g/cm³